Entry 1:
Here is a geometry-optimized TiBiAs3 structure from Alexandria via LeMat-Bulk. Energies are from PBE-GGA.

Results
E_form = 0.111 eV per atom
DOS(E_F) = 0.948 states/eV per atom

Geometry as CIF:
```
data_TiBiAs3
_symmetry_space_group_name_H-M 'P 1'
_symmetry_Int_Tables_number 1
_cell_length_a 4.944
_cell_length_b 4.944
_cell_length_c 4.944
_cell_angle_alpha 90.00
_cell_angle_beta 90.00
_cell_angle_gamma 90.00
loop_
_symmetry_equiv_pos_as_xyz
'x,y,z'
loop_
_atom_site_label
_atom_site_type_symbol
_atom_site_fract_x
_atom_site_fract_y
_atom_site_fract_z
_atom_site_occupancy
As1 As 0.000 0.500 0.000 1
As2 As 0.000 0.000 0.500 1
As3 As 0.500 0.000 0.000 1
Bi1 Bi 0.500 0.500 0.500 1
Ti1 Ti 0.000 0.000 0.000 1
```

Entry 2:
Here is a geometry-optimized Ti2BiAs2 structure from Alexandria via LeMat-Bulk. Energies are from PBE-GGA.

Results
E_form = -0.299 eV per atom
DOS(E_F) = 1.100 states/eV per atom
E above lowest polymorph = 158 meV per atom

Geometry as CIF:
```
data_Ti2BiAs2
_symmetry_space_group_name_H-M 'P 1'
_symmetry_Int_Tables_number 1
_cell_length_a 7.656
_cell_length_b 7.656
_cell_length_c 3.341
_cell_angle_alpha 90.00
_cell_angle_beta 90.00
_cell_angle_gamma 90.00
loop_
_symmetry_equiv_pos_as_xyz
'x,y,z'
loop_
_atom_site_label
_atom_site_type_symbol
_atom_site_fract_x
_atom_site_fract_y
_atom_site_fract_z
_atom_site_occupancy
As1 As 0.362 0.862 0.000 1
As2 As 0.862 0.638 0.000 1
As3 As 0.638 0.138 0.000 1
As4 As 0.138 0.362 0.000 1
Bi1 Bi 0.000 0.000 0.000 1
Bi2 Bi 0.500 0.500 0.000 1
Ti1 Ti 0.143 0.643 0.500 1
Ti2 Ti 0.643 0.857 0.500 1
Ti3 Ti 0.857 0.357 0.500 1
Ti4 Ti 0.357 0.143 0.500 1
```

Entry 3:
Here is a geometry-optimized TiBiAs2 structure from Alexandria via LeMat-Bulk. Energies are from PBE-GGA.

Results
E_form = -0.045 eV per atom
DOS(E_F) = 0.606 states/eV per atom

Geometry as CIF:
```
data_TiBiAs2
_symmetry_space_group_name_H-M 'P 1'
_symmetry_Int_Tables_number 1
_cell_length_a 6.156
_cell_length_b 6.156
_cell_length_c 7.650
_cell_angle_alpha 66.28
_cell_angle_beta 66.28
_cell_angle_gamma 90.00
loop_
_symmetry_equiv_pos_as_xyz
'x,y,z'
loop_
_atom_site_label
_atom_site_type_symbol
_atom_site_fract_x
_atom_site_fract_y
_atom_site_fract_z
_atom_site_occupancy
As1 As 0.570 0.125 0.250 1
As2 As 0.180 0.625 0.250 1
As3 As 0.375 0.430 0.750 1
As4 As 0.875 0.820 0.750 1
Bi1 Bi 0.000 0.000 0.000 1
Bi2 Bi 0.750 0.250 0.500 1
Ti1 Ti 0.500 0.500 0.000 1
Ti2 Ti 0.250 0.750 0.500 1
```

Entry 4:
Here is a geometry-optimized Ti4BiAs structure from Alexandria via LeMat-Bulk. Energies are from PBE-GGA.

Results
E_form = -0.278 eV per atom
DOS(E_F) = 1.005 states/eV per atom

Geometry as CIF:
```
data_Ti4BiAs
_symmetry_space_group_name_H-M 'P 1'
_symmetry_Int_Tables_number 1
_cell_length_a 4.836
_cell_length_b 5.440
_cell_length_c 9.347
_cell_angle_alpha 90.00
_cell_angle_beta 104.99
_cell_angle_gamma 90.00
loop_
_symmetry_equiv_pos_as_xyz
'x,y,z'
loop_
_atom_site_label
_atom_site_type_symbol
_atom_site_fract_x
_atom_site_fract_y
_atom_site_fract_z
_atom_site_occupancy
Ti1 Ti 0.876 0.322 0.752 1
Ti2 Ti 0.124 0.822 0.248 1
Ti3 Ti 0.439 0.823 0.878 1
Ti4 Ti 0.561 0.323 0.122 1
Ti5 Ti 0.704 0.579 0.408 1
Ti6 Ti 0.296 0.079 0.592 1
Ti7 Ti 0.704 0.066 0.408 1
Ti8 Ti 0.296 0.566 0.592 1
Bi1 Bi 0.850 0.822 0.700 1
Bi2 Bi 0.150 0.322 0.300 1
As1 As 0.578 0.822 0.155 1
As2 As 0.422 0.322 0.845 1
```

Entry 5:
Here is a geometry-optimized TiBiAs2 structure from Alexandria via LeMat-Bulk. Energies are from PBE-GGA.

Results
E_form = -0.271 eV per atom
DOS(E_F) = 0.568 states/eV per atom

Geometry as CIF:
```
data_TiBiAs2
_symmetry_space_group_name_H-M 'P 1'
_symmetry_Int_Tables_number 1
_cell_length_a 3.687
_cell_length_b 3.687
_cell_length_c 7.788
_cell_angle_alpha 76.31
_cell_angle_beta 76.31
_cell_angle_gamma 60.00
loop_
_symmetry_equiv_pos_as_xyz
'x,y,z'
loop_
_atom_site_label
_atom_site_type_symbol
_atom_site_fract_x
_atom_site_fract_y
_atom_site_fract_z
_atom_site_occupancy
Ti1 Ti 0.666 0.666 0.002 1
Bi1 Bi 0.503 0.503 0.491 1
As1 As 0.067 0.067 0.800 1
As2 As 0.264 0.264 0.207 1
```

Entry 6:
Here is a geometry-optimized Ti2BiAs2 structure from Alexandria via LeMat-Bulk. Energies are from PBE-GGA.

Results
E_form = -0.457 eV per atom
DOS(E_F) = 0.503 states/eV per atom
E above lowest polymorph = 0 meV per atom

Geometry as CIF:
```
data_Ti2BiAs2
_symmetry_space_group_name_H-M 'P 1'
_symmetry_Int_Tables_number 1
_cell_length_a 7.532
_cell_length_b 7.532
_cell_length_c 3.361
_cell_angle_alpha 90.00
_cell_angle_beta 90.00
_cell_angle_gamma 90.00
loop_
_symmetry_equiv_pos_as_xyz
'x,y,z'
loop_
_atom_site_label
_atom_site_type_symbol
_atom_site_fract_x
_atom_site_fract_y
_atom_site_fract_z
_atom_site_occupancy
As1 As 0.139 0.639 0.500 1
As2 As 0.639 0.861 0.500 1
As3 As 0.861 0.361 0.500 1
As4 As 0.361 0.139 0.500 1
Bi1 Bi 0.000 0.000 0.000 1
Bi2 Bi 0.500 0.500 0.000 1
Ti1 Ti 0.354 0.854 0.000 1
Ti2 Ti 0.854 0.646 0.000 1
Ti3 Ti 0.646 0.146 0.000 1
Ti4 Ti 0.146 0.354 0.000 1
```

> The highest E_form belongs to which entry?

TiBiAs3

> Which of these has the lowest E_form?

number 6